Record 1
The following is a DFT calculation (PBE) of a geometry-optimized AgP2Br structure.

Summary:
ΔE to the lowest computed polymorph (eV/atom): 0.718
Calculated total energy (eV per atom): -3.10
N(E_F) (states/eV/f.u.): 1.978
Density (Mg/m³): 5.510
ΔE_f (raw) (eV/atom): 0.74

Structure (CIF):
```
data_AgP2Br
_chemical_formula_sum 'Ag1 P2 Br1'
_cell_length_a 3.0335
_cell_length_b 4.6746
_cell_length_c 5.3070
_cell_angle_alpha 90.00
_cell_angle_beta 90.00
_cell_angle_gamma 90.00
_space_group_name_H-M_alt 'P 1'
_space_group_IT_number 1
loop_
_space_group_symop_operation_xyz
'x,y,z'
loop_
_atom_site_label
_atom_site_type_symbol
_atom_site_fract_x
_atom_site_fract_y
_atom_site_fract_z
Ag1 Ag 0.0000 0.0000 0.0000
P1 P 0.0000 0.5000 0.5000
P2 P 0.5000 0.5000 0.0000
Br1 Br 0.5000 0.0000 0.5000
```

Record 2
The following is a DFT calculation (PBE) of a geometry-optimized BaPaCuS4 structure.

Summary:
Calculated total energy (eV per atom): -6.04
Density (Mg/m³): 5.662
ΔE_f (raw) (eV/atom): -1.46

Structure (CIF):
```
data_BaPaCuS4
_chemical_formula_sum 'Ba2 Pa2 Cu2 S8'
_cell_length_a 6.2821
_cell_length_b 6.4602
_cell_length_c 8.5661
_cell_angle_alpha 90.00
_cell_angle_beta 109.06
_cell_angle_gamma 90.00
_space_group_name_H-M_alt 'P 1'
_space_group_IT_number 1
loop_
_space_group_symop_operation_xyz
'x,y,z'
loop_
_atom_site_label
_atom_site_type_symbol
_atom_site_fract_x
_atom_site_fract_y
_atom_site_fract_z
Ba1 Ba 0.2469 0.2500 0.0565
Ba2 Ba 0.7531 0.7500 0.9435
Pa1 Pa 0.2344 0.2500 0.5577
Pa2 Pa 0.7656 0.7500 0.4423
Cu1 Cu 0.2231 0.7500 0.3281
Cu2 Cu 0.7769 0.2500 0.6719
S1 S 0.0303 0.5154 0.7085
S2 S 0.0303 0.9846 0.7085
S3 S 0.4223 0.7500 0.1498
S4 S 0.4592 0.7500 0.5889
S5 S 0.5408 0.2500 0.4111
S6 S 0.5777 0.2500 0.8502
S7 S 0.9697 0.0154 0.2915
S8 S 0.9697 0.4846 0.2915
```

Record 3
The following is a DFT calculation (PBE) of a geometry-optimized BaFeSb2 structure.

Summary:
Calculated total energy (eV per atom): -4.73
N(E_F) (states/eV/f.u.): 3.609
Density (Mg/m³): 6.513
ΔE_f (raw) (eV/atom): -0.07

Structure (CIF):
```
data_BaFeSb2
_chemical_formula_sum 'Ba1 Fe1 Sb2'
_cell_length_a 8.4279
_cell_length_b 8.4279
_cell_length_c 8.4279
_cell_angle_alpha 156.13
_cell_angle_beta 152.60
_cell_angle_gamma 36.65
_space_group_name_H-M_alt 'P 1'
_space_group_IT_number 1
loop_
_space_group_symop_operation_xyz
'x,y,z'
loop_
_atom_site_label
_atom_site_type_symbol
_atom_site_fract_x
_atom_site_fract_y
_atom_site_fract_z
Ba1 Ba 0.0000 0.0000 0.0000
Fe1 Fe 0.2371 0.7371 0.5000
Sb1 Sb 0.3576 0.3576 0.0000
Sb2 Sb 0.6794 0.1794 0.5000
```